LaZrTa2Cu: relaxed, PBE-GGA.

Formation energy from the elements (eV per atom): 1.854
Final energy (eV per cell): -32.0
Density of states at the Fermi level (states/eV per cell): 8.93
Crystal system: tetragonal

POSCAR file:
```
LaZrTa2Cu
1.0
-3.6649 1.8727 -2.8905
-3.1396 -3.0282 2.0188
-1.0345 3.4274 3.5321
La Cu Zr Ta
1 1 1 2
direct
0.0000 0.0000 0.0000
0.0000 0.5000 0.0000
0.5000 0.5000 0.5000
0.0000 0.0000 0.5000
0.5000 0.0000 0.0000
```

La2TbCu6: relaxed, PBE-GGA.

Formation energy from the elements (eV per atom): -0.227
Final energy (eV per cell): -41.1
Density of states at the Fermi level (states/eV per cell): 5.81
Crystal system: hexagonal

POSCAR file:
```
La2TbCu6
1.0
-1.2858 -3.2874 1.3223
0.5394 -2.9532 -6.8175
5.7765 -0.3736 4.6886
La Cu Tb
2 6 1
direct
0.0000 0.6667 0.3333
0.0000 0.3333 0.6667
0.5000 0.0000 0.3299
0.5000 0.6701 0.0000
0.5000 0.6701 0.6701
0.5000 0.3299 0.3299
0.5000 0.3299 0.0000
0.5000 0.0000 0.6701
0.0000 0.0000 0.0000
```

LaTb2Cu: relaxed, PBE-GGA.

Formation energy from the elements (eV per atom): -0.080
Final energy (eV per cell): -74.4
Density of states at the Fermi level (states/eV per cell): 20.19
Crystal system: orthorhombic

POSCAR file:
```
LaTb2Cu
1.0
6.5611 0.0000 0.0000
0.0000 6.9204 0.0000
0.0000 0.0000 10.0667
Cu Tb La
4 8 4
direct
0.5761 0.1083 0.7500
0.9239 0.6083 0.7500
0.4239 0.8917 0.2500
0.0761 0.3917 0.2500
0.1762 0.6804 0.0577
0.8238 0.3196 0.9423
0.6762 0.8196 0.5577
0.1762 0.6804 0.4423
0.3238 0.1804 0.4423
0.8238 0.3196 0.5577
0.6762 0.8196 0.9423
0.3238 0.1804 0.0577
0.8628 0.0094 0.2500
0.1372 0.9906 0.7500
0.6372 0.5094 0.2500
0.3628 0.4906 0.7500
```

LaTb4Cu: relaxed, PBE-GGA.

Formation energy from the elements (eV per atom): -0.043
Final energy (eV per cell): -27.8
Density of states at the Fermi level (states/eV per cell): 8.22
Crystal system: tetragonal

POSCAR file:
```
LaTb4Cu
1.0
-2.0749 -2.3333 -1.7513
2.7147 -2.3313 -0.1105
-4.0876 -5.3255 11.9379
Tb Cu La
4 1 1
direct
0.0000 0.0000 0.3777
0.5000 0.5000 0.1902
0.0000 0.0000 0.6223
0.5000 0.5000 0.8098
0.5000 0.5000 0.5000
0.0000 0.0000 0.0000
```

LaTbCu4: relaxed, PBE-GGA.

Formation energy from the elements (eV per atom): -0.104
Final energy (eV per cell): -26.6
Density of states at the Fermi level (states/eV per cell): 4.56
Crystal system: cubic

POSCAR file:
```
LaTbCu4
1.0
-0.8537 0.4144 -5.2657
-3.1950 -3.5055 -2.4763
-4.7830 1.5616 -1.8201
Tb Cu La
1 4 1
direct
0.2500 0.2500 0.2500
0.6236 0.1292 0.6236
0.6236 0.6236 0.6236
0.6236 0.6236 0.1292
0.1292 0.6236 0.6236
0.0000 0.0000 0.0000
```

LaTbCu4: relaxed, PBE-GGA.

Formation energy from the elements (eV per atom): -0.211
Final energy (eV per cell): -27.2
Density of states at the Fermi level (states/eV per cell): 3.23
Crystal system: tetragonal

POSCAR file:
```
LaTbCu4
1.0
-1.3135 2.9041 2.3314
-1.1897 -2.6698 2.6553
8.1552 0.2367 0.9554
La Cu Tb
1 4 1
direct
0.2500 0.7500 0.5000
0.6673 0.1673 0.3346
0.5782 0.5782 0.1563
0.8327 0.3327 0.6654
0.4218 0.4218 0.8437
0.0000 0.0000 0.0000
```

Q: What is the final energy in the second record?
A: -41.1 eV per cell